(1)
SiHRh2Cl PBE relaxed; crystal system = tetragonal; density of states at the Fermi level = 0.802 states/eV/atom; calculated total energy = -0.1687 Ha/atom; total magnetization = 0.000 μB per atom; symmetry = No. 123
1.0
-3.014 2.423 1.734
-1.809 -0.130 -2.962
-2.002 -3.474 1.375
Rh H Si Cl
2 1 1 1
Direct
0.500 0.000 0.000 Rh
0.000 0.000 0.500 Rh
0.000 0.000 0.000 H
0.000 0.500 0.000 Si
0.500 0.500 0.500 Cl

=====

(2)
Fe4CoGe PBE relaxed; crystal system = monoclinic; density of states at the Fermi level = 1.004 states/eV/atom; calculated formation energy = 0.074 eV/atom; total magnetization = 1.746 μB per atom; symmetry = No. 12
1.0
-3.302 -0.566 2.421
0.608 -1.954 3.592
-1.930 5.155 1.295
Fe Co Ge
4 1 1
Direct
0.924 0.424 0.257 Fe
0.578 0.078 0.257 Fe
0.082 0.574 0.746 Fe
0.428 0.920 0.746 Fe
0.003 0.999 0.502 Co
0.503 0.499 0.002 Ge

=====

(3)
PrYSc PBE relaxed; crystal system = hexagonal; density of states at the Fermi level = 1.726 states/eV/atom; calculated formation energy = 0.080 eV/atom; total magnetization = 0.000 μB per atom; energy above the most stable polymorph in this dataset = 32 meV/atom; symmetry = No. 187
1.0
3.468 0.000 0.000
0.000 9.559 0.000
0.000 0.000 11.029
Pr Sc Y
4 4 4
Direct
0.500 0.946 0.875 Pr
0.500 0.446 0.125 Pr
0.500 0.945 0.375 Pr
0.500 0.445 0.625 Pr
0.500 0.279 0.375 Sc
0.500 0.779 0.625 Sc
0.500 0.779 0.125 Sc
0.500 0.279 0.875 Sc
0.000 0.113 0.125 Y
0.000 0.112 0.625 Y
0.000 0.613 0.875 Y
0.000 0.612 0.375 Y

=====

(4)
Na2ErP2N4 PBE relaxed; crystal system = monoclinic; density of states at the Fermi level = 0.238 states/eV/atom; energy relative to the elements, uncorrected = -4.25 eV per formula unit; total magnetization = 0.000 μB per atom; symmetry = No. 12
1.0
3.001 0.000 0.000
0.000 9.967 -1.042
-1.501 -5.411 4.853
N Er P Na
4 1 2 2
Direct
0.730 0.763 0.460 N
0.520 0.852 0.039 N
0.480 0.148 0.961 N
0.270 0.237 0.540 N
0.000 0.000 0.000 Er
0.711 0.072 0.423 P
0.289 0.928 0.577 P
0.069 0.423 0.137 Na
0.931 0.577 0.863 Na